A plane-wave DFT calculation with PBE was carried out for crystalline NaPm2CrN4 at its relaxed geometry.

## Properties
The formation energy from raw total energies is -836 meV per atom.

a = 8.0087 Å, b = 8.0253 Å, c = 8.0933 Å
α = 90.00°, β = 90.00°, γ = 90.00°
Space group Fmm2 (No. 42)
Asymmetric unit:
Na 0.0000 0.0000 0.0000 (multiplicity 4)
Pm 0.2500 0.2500 0.2496 (multiplicity 8)
Cr 0.0000 0.0000 0.4993 (multiplicity 4)
N 0.0000 0.1954 0.6099 (multiplicity 8)
N 0.1954 0.0000 0.3883 (multiplicity 8)